DFT (PBE-GGA) results for crystalline SmFe2GeH at its relaxed geometry.

```
10
Lattice="1.824 -5.292 0.000 1.824 5.292 0.000 0.000 0.000 7.340" Properties=species:S:1:pos:R:3 pbc="T T T"
Sm 1.824 4.835 5.505
Sm 1.824 -4.835 1.835
Fe 1.824 1.790 4.076
Fe 1.824 1.790 6.934
Fe 1.824 -1.790 0.406
Fe 1.824 -1.790 3.264
Ge 1.824 2.790 1.835
Ge 1.824 -2.790 5.505
H 1.824 0.000 0.000
H 1.824 0.000 3.670
```


DFT (PBE-GGA) results for crystalline TaFe2GeH at its relaxed geometry.

```
5
Lattice="3.761 0.000 0.000 0.000 3.761 0.000 0.000 0.000 4.078" Properties=species:S:1:pos:R:3 pbc="T T T"
Ta 0.000 0.000 0.000
Fe 0.000 1.880 2.039
Fe 1.880 0.000 2.039
Ge 1.880 1.880 0.000
H 0.000 0.000 2.039
```


DFT (PBE-GGA) results for crystalline FeTc2GeH at its relaxed geometry.

```
5
Lattice="4.151 0.000 0.000 0.000 4.151 0.000 0.000 0.000 3.320" Properties=species:S:1:pos:R:3 pbc="T T T"
Fe 0.000 0.000 0.000
Tc 0.000 2.076 1.660
Tc 2.076 0.000 1.660
Ge 2.076 2.076 0.000
H 0.000 0.000 1.660
```


DFT (PBE-GGA) results for crystalline Ti2Fe2Ge2H at its relaxed geometry.

```
14
Lattice="3.678 0.000 0.000 0.000 3.678 0.000 0.000 0.000 12.843" Properties=species:S:1:pos:R:3 pbc="T T T"
Ti 0.000 0.000 2.112
Ti 0.000 0.000 10.731
Ti 1.839 1.839 4.310
Ti 1.839 1.839 8.534
Fe 0.000 1.839 0.000
Fe 0.000 1.839 6.422
Fe 1.839 0.000 0.000
Fe 1.839 0.000 6.422
Ge 0.000 0.000 4.753
Ge 0.000 0.000 8.090
Ge 1.839 1.839 1.668
Ge 1.839 1.839 11.175
H 0.000 0.000 0.000
H 1.839 1.839 6.422
```


DFT (PBE-GGA) results for crystalline TlFe2GeH at its relaxed geometry.

```
5
Lattice="3.937 0.000 0.000 0.000 3.937 0.000 0.000 0.000 4.497" Properties=species:S:1:pos:R:3 pbc="T T T"
Tl 0.000 0.000 0.000
Fe 0.000 1.969 2.249
Fe 1.969 0.000 2.249
Ge 1.969 1.969 0.000
H 1.969 1.969 2.249
```


DFT (PBE-GGA) results for crystalline UFeGeH at its relaxed geometry.

```
4
Lattice="4.218 0.000 0.000 -2.109 3.653 0.000 0.000 0.000 3.487" Properties=species:S:1:pos:R:3 pbc="T T T"
U 0.000 0.000 0.000
Fe 2.109 1.218 1.744
Ge 0.000 2.435 1.744
H 2.109 1.218 0.000
```


Number 1: energy -6.26 eV per atom. Number 2: energy -7.42 eV per atom. Number 3: energy -7.36 eV per atom. Number 4: energy -6.93 eV per atom. Number 5: energy -4.89 eV per atom. Number 6: energy -7.28 eV per atom.